[1]
Crystalline HfTaSi2Pb at its relaxed geometry. Source: the Alexandria database, functional PBE.

Properties
**DFT total energy**: -25.92 eV for the cell shown
**Space group**: P4/mmm
**Total magnetic moment**: 1.23 μB per formula unit
**D(E_F)**: 5.0 states/eV per cell
**Formation energy without anion corrections**: 2.0889 eV/atom
**Calculated density**: 7.7 g/cm³

Unit cell a=4.9840 b=4.9840 c=5.4164 alpha=90.00 beta=90.00 gamma=90.00
Last column: nearest neighbours and their distance in Å.
Fractional coordinates of all 5 atoms:
Hf  0.0000  0.0000  0.0000  2 Pb 2.71
Ta  0.5000  0.5000  0.0000  4 Hf 3.52, 8 Si 3.68
Si  0.0000  0.5000  0.5000  2 Pb 2.49
Si  0.5000  0.0000  0.5000  2 Pb 2.49
Pb  0.0000  0.0000  0.5000  4 Si 2.49, 2 Hf 2.71

---

[2]
Crystalline RbSmSe2O8 at its relaxed geometry. Source: the Alexandria database, functional PBE.

Properties
**Distance to the lowest polymorph of the same formula**: 0.000 eV/atom
**DFT total energy**: -283.38 eV for the cell shown
**Space group**: P2_1/c
**Total magnetic moment**: 0.00 μB per formula unit
**D(E_F)**: 0.0 states/eV per cell
**Formation energy without anion corrections**: -1.5436 eV/atom
**Calculated density**: 4.5 g/cm³

Unit cell a=9.3570 b=7.4405 c=11.1516 alpha=90.00 beta=90.76 gamma=90.00
Last column: nearest neighbours and their distance in Å.
Fractional coordinates of all 48 atoms:
Rb  0.0644  0.1480  0.3424  7 O 2.93-3.16
Rb  0.0644  0.3520  0.8424  7 O 2.93-3.16
Rb  0.9356  0.6480  0.1576  7 O 2.93-3.16
Rb  0.9356  0.8520  0.6576  7 O 2.93-3.16
Sm  0.4486  0.6657  0.6522  9 O 2.40-2.66
Sm  0.4486  0.8343  0.1522  9 O 2.40-2.66
Sm  0.5514  0.1657  0.8478  9 O 2.40-2.66
Sm  0.5514  0.3343  0.3478  9 O 2.40-2.66
Se  0.2373  0.6616  0.4143  4 O 1.64-1.70
Se  0.2373  0.8384  0.9143  4 O 1.64-1.70
Se  0.3256  0.1658  0.6097  4 O 1.64-1.71
Se  0.3256  0.3342  0.1097  4 O 1.64-1.71
Se  0.6744  0.6658  0.8903  4 O 1.64-1.71
Se  0.6744  0.8342  0.3903  4 O 1.64-1.71
Se  0.7627  0.1616  0.0857  4 O 1.64-1.70
Se  0.7627  0.3384  0.5857  4 O 1.64-1.70
O  0.1028  0.5364  0.3694  1 Se 1.64
O  0.1028  0.9636  0.8694  1 Se 1.64
O  0.1502  0.1575  0.6040  1 Se 1.64
O  0.1502  0.3425  0.1040  1 Se 1.64
O  0.2167  0.7403  0.0490  1 Se 1.68
O  0.2167  0.7597  0.5490  1 Se 1.68
O  0.2751  0.6797  0.8119  1 Se 1.68
O  0.2751  0.8203  0.3119  1 Se 1.68
O  0.3794  0.1578  0.1970  1 Se 1.71
O  0.3794  0.3422  0.6970  1 Se 1.71
O  0.3855  0.5394  0.4496  1 Se 1.70
O  0.3855  0.9606  0.9496  1 Se 1.70
O  0.3941  0.1642  0.4727  1 Se 1.66
O  0.3941  0.3358  0.9727  1 Se 1.66
O  0.4036  0.5009  0.1921  1 Se 1.70
O  0.4036  0.9991  0.6921  1 Se 1.70
O  0.5964  0.0009  0.3079  1 Se 1.70
O  0.5964  0.4991  0.8079  1 Se 1.70
O  0.6059  0.6642  0.0273  1 Se 1.66
O  0.6059  0.8358  0.5273  1 Se 1.66
O  0.6145  0.0394  0.0504  1 Se 1.70
O  0.6145  0.4606  0.5504  1 Se 1.70
O  0.6206  0.6578  0.3030  1 Se 1.71
O  0.6206  0.8422  0.8030  1 Se 1.71
O  0.7249  0.1797  0.6881  1 Se 1.68
O  0.7249  0.3203  0.1881  1 Se 1.68
O  0.7833  0.2403  0.4510  1 Se 1.68
O  0.7833  0.2597  0.9510  1 Se 1.68
O  0.8498  0.6575  0.8960  1 Se 1.64
O  0.8498  0.8425  0.3960  1 Se 1.64
O  0.8972  0.0364  0.1306  1 Se 1.64
O  0.8972  0.4636  0.6306  1 Se 1.64

---

[3]
Crystalline AlTc2Ag at its relaxed geometry. Source: the Alexandria database, functional PBE.

Properties
**Formation energy from the elements**: 0.109 eV/atom
**DFT total energy**: -26.89 eV for the cell shown
**Space group**: Pmm2
**Total magnetic moment**: 0.00 μB per formula unit
**D(E_F)**: 3.2 states/eV per cell
**Calculated density**: 8.9 g/cm³

Unit cell a=2.8381 b=4.4004 c=4.9295 alpha=90.00 beta=90.00 gamma=90.00
Last column: nearest neighbours and their distance in Å.
Fractional coordinates of all 4 atoms:
Al  0.0000  0.0000  0.0000  2 Ag 2.60, 6 Tc 2.72-2.83, 2 Al 2.84
Tc  0.5000  0.0000  0.5288  2 Tc 2.53, 2 Al 2.72
Tc  0.5000  0.5000  0.7802  2 Tc 2.53
Ag  0.0000  0.5000  0.2825  2 Al 2.60, 8 Tc 2.83-2.89, 2 Ag 2.84

---

[4]
Crystalline CeThPa2Ir4 at its relaxed geometry. Source: the Alexandria database, functional PBE.

Properties
**Formation energy from the elements**: -0.855 eV/atom
**DFT total energy**: -74.63 eV for the cell shown
**Space group**: Fmm2
**Total magnetic moment**: 0.00 μB per formula unit
**D(E_F)**: 4.1 states/eV per cell
**Calculated density**: 14.2 g/cm³

Unit cell a=6.9983 b=5.7192 c=6.9984 alpha=65.88 beta=48.24 gamma=65.88
Last column: nearest neighbours and their distance in Å.
Fractional coordinates of all 8 atoms:
Ce  0.0000  0.0000  0.0000  6 Ir 2.82-2.86
Th  0.5006  0.5006  0.4994  6 Ir 2.86-2.90
Pa  0.2506  0.2506  0.2494  6 Ir 2.86
Pa  0.7506  0.7506  0.7494  6 Ir 2.86
Ir  0.0006  0.4998  0.9994  2 Pa 2.86, 2 Ce 2.86, 2 Th 2.86
Ir  0.2471  0.7540  0.2460  1 Ce 2.82, 4 Pa 2.86, 1 Th 2.90
Ir  0.4998  0.0006  0.5002  2 Pa 2.86, 2 Ce 2.86, 2 Th 2.86
Ir  0.7540  0.2471  0.7529  1 Ce 2.82, 4 Pa 2.86, 1 Th 2.90

---

[5]
Crystalline Tb4Be at its relaxed geometry. Source: the Alexandria database, functional PBE.

Properties
**Formation energy from the elements**: 0.274 eV/atom
**DFT total energy**: -20.88 eV for the cell shown
**Space group**: Pm-3m
**Total magnetic moment**: 0.00 μB per formula unit
**D(E_F)**: 4.8 states/eV per cell
**Calculated density**: 7.1 g/cm³

Unit cell a=5.3213 b=5.3213 c=5.3213 alpha=90.00 beta=90.00 gamma=90.00
Last column: nearest neighbours and their distance in Å.
Fractional coordinates of all 5 atoms:
Tb  0.0000  0.0000  0.0000  12 Tb 3.76
Tb  0.0000  0.5000  0.5000  2 Be 2.66
Tb  0.5000  0.0000  0.5000  2 Be 2.66
Tb  0.5000  0.5000  0.0000  2 Be 2.66
Be  0.5000  0.5000  0.5000  6 Tb 2.66

---

[6]
Crystalline CaAc2Zn4Pt3 at its relaxed geometry. Source: the Alexandria database, functional PBE.

Properties
**Formation energy from the elements**: -0.683 eV/atom
**DFT total energy**: -40.26 eV for the cell shown
**Space group**: P-4m2
**Total magnetic moment**: 0.00 μB per formula unit
**D(E_F)**: 5.4 states/eV per cell
**Calculated density**: 10.0 g/cm³

Unit cell a=4.2446 b=4.2446 c=12.3507 alpha=90.00 beta=90.00 gamma=90.00
Last column: nearest neighbours and their distance in Å.
Fractional coordinates of all 10 atoms:
Ca  0.0000  0.0000  0.0000  4 Zn 2.87, 4 Pt 3.00
Ac  0.0000  0.5000  0.7229  4 Pt 3.21, 8 Zn 3.35-3.48
Ac  0.5000  0.0000  0.2771  4 Pt 3.21, 8 Zn 3.35-3.48
Zn  0.0000  0.0000  0.5000  4 Pt 2.67
Zn  0.0000  0.5000  0.1558  3 Pt 2.63-2.87, 2 Ca 2.87
Zn  0.5000  0.0000  0.8442  3 Pt 2.63-2.87, 2 Ca 2.87
Zn  0.5000  0.5000  0.5000  4 Pt 2.67
Pt  0.0000  0.5000  0.3687  5 Zn 2.63-2.67
Pt  0.5000  0.0000  0.6313  5 Zn 2.63-2.67
Pt  0.5000  0.5000  0.0000  4 Zn 2.87, 4 Ca 3.00

---

[7]
Crystalline ZrZnCo3 at its relaxed geometry. Source: the Alexandria database, functional PBE.

Properties
**Formation energy from the elements**: 0.695 eV/atom
**Distance to the lowest polymorph of the same formula**: 0.000 eV/atom
**DFT total energy**: -27.67 eV for the cell shown
**Space group**: Pm-3m
**Total magnetic moment**: 0.99 μB per formula unit
**D(E_F)**: 4.0 states/eV per cell
**Calculated density**: 7.1 g/cm³

Unit cell a=4.2648 b=4.2648 c=4.2648 alpha=90.00 beta=90.00 gamma=90.00
Last column: nearest neighbours and their distance in Å.
Fractional coordinates of all 5 atoms:
Zr  0.0000  0.0000  0.0000  12 Co 3.02
Zn  0.5000  0.5000  0.5000  6 Co 2.13
Co  0.0000  0.5000  0.5000  2 Zn 2.13
Co  0.5000  0.0000  0.5000  2 Zn 2.13
Co  0.5000  0.5000  0.0000  2 Zn 2.13

---

[8]
Crystalline SrHo2F7 at its relaxed geometry. Source: the Alexandria database, functional PBE.

Properties
**DFT total energy**: -61.88 eV for the cell shown
**Space group**: Cmmm
**Total magnetic moment**: 0.46 μB per formula unit
**D(E_F)**: 1.4 states/eV per cell
**Formation energy without anion corrections**: -3.7943 eV/atom
**Calculated density**: 5.6 g/cm³

Unit cell a=6.5487 b=6.5487 c=4.2369 alpha=90.00 beta=90.00 gamma=115.10
Last column: nearest neighbours and their distance in Å.
Fractional coordinates of all 10 atoms:
Sr  0.0000  0.0000  0.0000  10 F 2.70-2.92
Ho  0.3080  0.6920  0.5000  7 F 2.12-2.30
Ho  0.6920  0.3080  0.5000  7 F 2.12-2.30
F  0.0496  0.3249  0.5000  2 Ho 2.28-2.30
F  0.2442  0.7558  0.0000  2 Ho 2.23
F  0.3249  0.0496  0.5000  2 Ho 2.28-2.30
F  0.5000  0.5000  0.5000  2 Ho 2.12
F  0.6751  0.9504  0.5000  2 Ho 2.28-2.30
F  0.7558  0.2442  0.0000  2 Ho 2.23
F  0.9504  0.6751  0.5000  2 Ho 2.28-2.30

---

[9]
Crystalline BaPuGe at its relaxed geometry. Source: the Alexandria database, functional PBE.

Properties
**Formation energy from the elements**: -0.401 eV/atom
**Distance to the lowest polymorph of the same formula**: 0.000 eV/atom
**DFT total energy**: -44.15 eV for the cell shown
**Space group**: P4/nmm
**Total magnetic moment**: 6.00 μB per formula unit
**D(E_F)**: 9.4 states/eV per cell
**Calculated density**: 7.9 g/cm³

Unit cell a=4.6895 b=4.6895 c=8.6551 alpha=90.00 beta=90.00 gamma=90.00
Last column: nearest neighbours and their distance in Å.
Fractional coordinates of all 6 atoms:
Ba  0.2500  0.2500  0.1444  5 Ge 3.49-3.59, 4 Pu 3.87
Ba  0.7500  0.7500  0.8556  5 Ge 3.49-3.59, 4 Pu 3.87
Pu  0.2500  0.7500  0.5000  4 Ge 3.07, 4 Pu 3.32
Pu  0.7500  0.2500  0.5000  4 Ge 3.07, 4 Pu 3.32
Ge  0.2500  0.2500  0.7298  4 Pu 3.07
Ge  0.7500  0.7500  0.2702  4 Pu 3.07

---

[10]
Crystalline Rb2MnPbBr at its relaxed geometry. Source: the Alexandria database, functional PBE.

Properties
**DFT total energy**: -16.87 eV for the cell shown
**Space group**: P4/mmm
**Total magnetic moment**: 3.95 μB per formula unit
**D(E_F)**: 2.3 states/eV per cell
**Formation energy without anion corrections**: -0.0774 eV/atom
**Calculated density**: 3.5 g/cm³

Unit cell a=6.8920 b=6.8920 c=5.0887 alpha=90.00 beta=90.00 gamma=90.00
Last column: nearest neighbours and their distance in Å.
Fractional coordinates of all 5 atoms:
Rb  0.0000  0.5000  0.0000  2 Mn 3.45
Rb  0.5000  0.0000  0.0000  2 Mn 3.45
Mn  0.0000  0.0000  0.0000  2 Pb 2.54
Pb  0.0000  0.0000  0.5000  2 Mn 2.54
Br  0.5000  0.5000  0.5000  8 Rb 4.28